The following is a DFT calculation (PBE) of crystalline SrPrPu2O8 at its relaxed geometry.

Structure (CIF):
```
data_SrPrPu2O8
_chemical_formula_sum 'Sr2 Pr2 Pu4 O16'
_space_group_name_H-M_alt 'I -4 m 2'
_space_group_IT_number 119
_space_group_name_Hall 'I -4 -2'
_cell_length_a 5.524
_cell_length_b 5.524
_cell_length_c 10.678
_cell_angle_alpha 90.00
_cell_angle_beta 90.00
_cell_angle_gamma 90.00
loop_
_atom_site_label
_atom_site_fract_x
_atom_site_fract_y
_atom_site_fract_z
_atom_site_occupancy
Sr1 0.000 0.000 0.000 1
Pr1 0.000 0.500 0.750 1
Pu1 0.000 0.000 0.500 1
Pu2 0.000 0.500 0.250 1
O1 0.219 0.246 0.373 1
```

Properties
Formation energy from raw total energies in eV/f.u.: -33.802
Magnetization in μB/f.u.: 5.0
DFT total energy in eV per atom: -9.0494

The following is a DFT calculation (PBE) of crystalline PrPu2TaO8 at its relaxed geometry.

Structure (CIF):
```
data_PrPu2TaO8
_chemical_formula_sum 'Pr2 Pu4 Ta2 O16'
_space_group_name_H-M_alt 'C m m m'
_space_group_IT_number 65
_space_group_name_Hall '-C 2 2'
_cell_length_a 7.171
_cell_length_b 7.211
_cell_length_c 6.966
_cell_angle_alpha 90.00
_cell_angle_beta 90.00
_cell_angle_gamma 90.00
loop_
_atom_site_label
_atom_site_fract_x
_atom_site_fract_y
_atom_site_fract_z
_atom_site_occupancy
Pr1 0.000 0.000 0.000 1
Pu1 0.000 0.500 0.257 1
Ta1 0.000 0.000 0.500 1
O1 0.000 0.287 0.500 1
O2 0.000 0.324 0.000 1
O3 0.188 0.000 0.287 1
```

Properties
Formation energy from raw total energies in eV/f.u.: -36.199
Magnetization in μB/f.u.: 8.0
DFT total energy in eV per atom: -10.0967

The following is a DFT calculation (PBE) of crystalline TbPr2PuO8 at its relaxed geometry.

Structure (CIF):
```
data_TbPr2PuO8
_chemical_formula_sum 'Tb1 Pr2 Pu1 O8'
_space_group_name_H-M_alt 'P -1'
_space_group_IT_number 2
_cell_length_a 4.046
_cell_length_b 5.593
_cell_length_c 7.579
_cell_angle_alpha 88.82
_cell_angle_beta 89.67
_cell_angle_gamma 83.73
loop_
_space_group_symop_operation_xyz
'x,y,z'
'-x,-y,-z'
loop_
_atom_site_label
_atom_site_fract_x
_atom_site_fract_y
_atom_site_fract_z
_atom_site_occupancy
Tb1 0.000 0.000 0.000 1
Pr1 0.500 0.490 0.758 1
Pu1 0.000 0.000 0.500 1
O1 0.044 0.237 0.727 1
O2 0.053 0.218 0.286 1
O3 0.422 0.788 0.498 1
O4 0.486 0.755 0.992 1
```

Properties
Formation energy from raw total energies in eV/f.u.: -35.770
Magnetization in μB/f.u.: 1.0
DFT total energy in eV per atom: -8.6631

The following is a DFT calculation (PBE) of crystalline TbPrPuO6 at its relaxed geometry.

Structure (CIF):
```
data_TbPrPuO6
_chemical_formula_sum 'Tb2 Pr2 Pu2 O12'
_space_group_name_H-M_alt 'P -3 1 c'
_space_group_IT_number 163
_space_group_name_Hall '-P 3 2c'
_cell_length_a 5.8056
_cell_length_b 5.8056
_cell_length_c 9.8244
_cell_angle_alpha 90.00
_cell_angle_beta 90.00
_cell_angle_gamma 120.00
loop_
_atom_site_label
_atom_site_fract_x
_atom_site_fract_y
_atom_site_fract_z
_atom_site_occupancy
Tb1 0.3333 0.6667 0.2500 1
Pr1 0.0000 0.0000 0.0000 1
Pu1 0.3333 0.6667 0.7500 1
O1 0.0274 0.3661 0.6373 1
```

Properties
Formation energy from raw total energies in eV/f.u.: -27.244
Magnetization in μB/f.u.: 2.0
DFT total energy in eV per atom: -8.9705

The following is a DFT calculation (PBE) of crystalline PrPuTe2O at its relaxed geometry.

Structure (CIF):
```
data_PrPuTe2O
_chemical_formula_sum 'Pr2 Pu2 Te4 O2'
_space_group_name_H-M_alt 'P 4/n m m'
_space_group_IT_number 129
_cell_length_a 4.205
_cell_length_b 4.205
_cell_length_c 16.239
_cell_angle_alpha 90.00
_cell_angle_beta 90.00
_cell_angle_gamma 90.00
loop_
_space_group_symop_operation_xyz
'x,y,z'
'-x,-y,-z'
'-y+1/2,x,z'
'y+1/2,-x,-z'
'-x+1/2,-y+1/2,z'
'x+1/2,y+1/2,-z'
'y,-x+1/2,z'
'-y,x+1/2,-z'
'x+1/2,-y,-z'
'-x+1/2,y,z'
'-y,-x,-z'
'y,x,z'
'-x,y+1/2,-z'
'x,-y+1/2,z'
'y+1/2,x+1/2,-z'
'-y+1/2,-x+1/2,z'
loop_
_atom_site_label
_atom_site_fract_x
_atom_site_fract_y
_atom_site_fract_z
_atom_site_occupancy
Pr1 0.250 0.250 0.141 1
Pu1 0.250 0.250 0.565 1
Te1 0.250 0.250 0.327 1
Te2 0.250 0.250 0.919 1
O1 0.250 0.750 0.500 1
```

Properties
Formation energy from raw total energies in eV/f.u.: -9.248
Magnetization in μB/f.u.: 4.8
DFT total energy in eV per atom: -7.9203

The following is a DFT calculation (PBE) of crystalline PrPu2TeO8 at its relaxed geometry.

Structure (CIF):
```
data_PrPu2TeO8
_chemical_formula_sum 'Pr2 Pu4 Te2 O16'
_space_group_name_H-M_alt 'C m m m'
_space_group_IT_number 65
_space_group_name_Hall '-C 2 2'
_cell_length_a 7.208
_cell_length_b 7.325
_cell_length_c 7.063
_cell_angle_alpha 90.00
_cell_angle_beta 90.00
_cell_angle_gamma 90.00
loop_
_atom_site_label
_atom_site_fract_x
_atom_site_fract_y
_atom_site_fract_z
_atom_site_occupancy
Pr1 0.000 0.000 0.000 1
Pu1 0.000 0.500 0.254 1
Te1 0.000 0.000 0.500 1
O1 0.000 0.308 0.500 1
O2 0.000 0.325 0.000 1
O3 0.199 0.000 0.271 1
```

Properties
Formation energy from raw total energies in eV/f.u.: -29.680
Magnetization in μB/f.u.: 7.0
DFT total energy in eV per atom: -8.8275

The following is a DFT calculation (PBE) of crystalline PrPuTlO6 at its relaxed geometry.

Structure (CIF):
```
data_PrPuTlO6
_chemical_formula_sum 'Pr2 Pu2 Tl2 O12'
_space_group_name_H-M_alt 'P -3 1 c'
_space_group_IT_number 163
_space_group_name_Hall '-P 3 2c'
_cell_length_a 5.6852
_cell_length_b 5.6852
_cell_length_c 10.2916
_cell_angle_alpha 90.00
_cell_angle_beta 90.00
_cell_angle_gamma 120.00
loop_
_atom_site_label
_atom_site_fract_x
_atom_site_fract_y
_atom_site_fract_z
_atom_site_occupancy
Pr1 0.0000 0.0000 0.0000 1
Pu1 0.3333 0.6667 0.2500 1
Tl1 0.3333 0.6667 0.7500 1
O1 0.0304 0.3643 0.1358 1
```

Properties
Formation energy from raw total energies in eV/f.u.: -19.617
Magnetization in μB/f.u.: 2.0
DFT total energy in eV per atom: -7.8715

The following is a DFT calculation (PBE) of crystalline Pr2PuTlO8 at its relaxed geometry.

Structure (CIF):
```
data_Pr2PuTlO8
_chemical_formula_sum 'Pr2 Pu1 Tl1 O8'
_space_group_name_H-M_alt 'P -1'
_space_group_IT_number 2
_cell_length_a 4.246
_cell_length_b 5.461
_cell_length_c 7.848
_cell_angle_alpha 89.94
_cell_angle_beta 89.98
_cell_angle_gamma 81.79
loop_
_space_group_symop_operation_xyz
'x,y,z'
'-x,-y,-z'
loop_
_atom_site_label
_atom_site_fract_x
_atom_site_fract_y
_atom_site_fract_z
_atom_site_occupancy
Pr1 0.000 0.001 0.256 1
Pu1 0.500 0.500 0.500 1
Tl1 0.500 0.500 0.000 1
O1 0.087 0.720 0.500 1
O2 0.115 0.761 0.000 1
O3 0.430 0.267 0.701 1
O4 0.431 0.266 0.298 1
```

Properties
Formation energy from raw total energies in eV/f.u.: -28.595
Magnetization in μB/f.u.: 1.0
DFT total energy in eV per atom: -7.8765

The following is a DFT calculation (PBE) of crystalline PrPu3Tl2O12 at its relaxed geometry.

Structure (CIF):
```
data_PrPu3Tl2O12
_chemical_formula_sum 'Pr3 Pu9 Tl6 O36'
_space_group_name_H-M_alt 'R -3 m'
_space_group_IT_number 166
_space_group_name_Hall '-R 3 2"'
_cell_length_a 8.1772
_cell_length_b 8.1772
_cell_length_c 15.9004
_cell_angle_alpha 90.00
_cell_angle_beta 90.00
_cell_angle_gamma 120.00
loop_
_atom_site_label
_atom_site_fract_x
_atom_site_fract_y
_atom_site_fract_z
_atom_site_occupancy
Pr1 0.0000 0.0000 0.0000 1
Pu1 0.0000 0.5000 0.5000 1
Tl1 0.0000 0.0000 0.3894 1
O1 0.0448 0.5224 0.3836 1
O2 0.1062 0.5531 0.8018 1
```

Properties
Formation energy from raw total energies in eV/f.u.: -41.471
Magnetization in μB/f.u.: 5.0
DFT total energy in eV per atom: -8.5265

The following is a DFT calculation (PBE) of crystalline PrPu3Tl4O12 at its relaxed geometry.

Structure (CIF):
```
data_PrPu3Tl4O12
_chemical_formula_sum 'Pr2 Pu6 Tl8 O24'
_space_group_name_H-M_alt 'I m -3 m'
_space_group_IT_number 229
_space_group_name_Hall '-I 4 2 3'
_cell_length_a 8.737
_cell_length_b 8.737
_cell_length_c 8.737
_cell_angle_alpha 90.00
_cell_angle_beta 90.00
_cell_angle_gamma 90.00
loop_
_atom_site_label
_atom_site_fract_x
_atom_site_fract_y
_atom_site_fract_z
_atom_site_occupancy
Pr1 0.000 0.000 0.000 1
Pu1 0.000 0.000 0.500 1
Tl1 0.250 0.250 0.250 1
O1 0.000 0.000 0.272 1
O2 0.000 0.250 0.500 1
```

Properties
Formation energy from raw total energies in eV/f.u.: -43.097
Magnetization in μB/f.u.: 7.0
DFT total energy in eV per atom: -7.9918

The following is a DFT calculation (PBE) of crystalline PrPuTl2O8 at its relaxed geometry.

Structure (CIF):
```
data_PrPuTl2O8
_chemical_formula_sum 'Pr2 Pu2 Tl4 O16'
_space_group_name_H-M_alt 'C 1 2/m 1'
_space_group_IT_number 12
_cell_length_a 7.353
_cell_length_b 7.626
_cell_length_c 6.988
_cell_angle_alpha 90.00
_cell_angle_beta 93.13
_cell_angle_gamma 90.00
loop_
_space_group_symop_operation_xyz
'x,y,z'
'-x,-y,-z'
'-x,y,-z'
'x,-y,z'
'x+1/2,y+1/2,z'
'-x+1/2,-y+1/2,-z'
'-x+1/2,y+1/2,-z'
'x+1/2,-y+1/2,z'
loop_
_atom_site_label
_atom_site_fract_x
_atom_site_fract_y
_atom_site_fract_z
_atom_site_occupancy
Pr1 0.000 0.000 0.000 1
Pu1 0.000 0.000 0.500 1
Tl1 0.008 0.500 0.251 1
O1 0.002 0.172 0.708 1
O2 0.187 0.500 0.984 1
O3 0.204 0.500 0.491 1
```

Properties
Formation energy from raw total energies in eV/f.u.: -21.436
Magnetization in μB/f.u.: 1.0
DFT total energy in eV per atom: -7.0788

The following is a DFT calculation (PBE) of crystalline PrTmPuO6 at its relaxed geometry.

Structure (CIF):
```
data_PrTmPuO6
_chemical_formula_sum 'Pr2 Tm2 Pu2 O12'
_space_group_name_H-M_alt 'P -3 1 c'
_space_group_IT_number 163
_space_group_name_Hall '-P 3 2c'
_cell_length_a 5.7225
_cell_length_b 5.7225
_cell_length_c 9.9321
_cell_angle_alpha 90.00
_cell_angle_beta 90.00
_cell_angle_gamma 120.00
loop_
_atom_site_label
_atom_site_fract_x
_atom_site_fract_y
_atom_site_fract_z
_atom_site_occupancy
Pr1 0.0000 0.0000 0.0000 1
Tm1 0.3333 0.6667 0.2500 1
Pu1 0.3333 0.6667 0.7500 1
O1 0.0207 0.3645 0.6386 1
```

Properties
Formation energy from raw total energies in eV/f.u.: -27.562
Magnetization in μB/f.u.: 2.0
DFT total energy in eV per atom: -8.9882